Record 1
Below is a relaxed structure of LiErBi2S4, with properties calculated at the PBE level.

The total energy is -4.73 eV/atom. The calculation puts the formation energy (no corrections) at -0.888 eV/atom.

abc: 3.843 6.718 8.371
angles: 120.12 90.00 90.00
Positions (direct):
Li 0.000 0.000 0.000
Er 0.500 0.500 0.000
Bi 0.500 0.000 0.500
Bi 0.000 0.500 0.500
S 0.500 0.308 0.214
S 0.500 0.692 0.786
S 0.000 0.187 0.795
S 0.000 0.813 0.205

---

Record 2
Below is a relaxed structure of Li3Er2BiSe6, with properties calculated at the PBE level.

The total energy is -4.67 eV/atom. The calculation puts the formation energy (no corrections) at -1.368 eV/atom.

abc: 7.068 7.068 6.936
angles: 99.81 99.81 120.01
Positions (direct):
Li 0.160 0.840 0.500
Li 0.840 0.160 0.500
Li 0.500 0.500 0.500
Er 0.333 0.667 0.000
Er 0.667 0.333 0.000
Bi 0.000 0.000 0.000
Se 0.915 0.573 0.745
Se 0.743 0.743 0.255
Se 0.085 0.427 0.255
Se 0.573 0.915 0.745
Se 0.257 0.257 0.745
Se 0.427 0.085 0.255

---

Record 3
Below is a relaxed structure of Li4Er3BiSe8, with properties calculated at the PBE level.

The total energy is -4.77 eV/atom. The calculation puts the formation energy (no corrections) at -1.449 eV/atom.

abc: 8.141 8.037 8.139
angles: 120.46 120.01 90.00
Positions (direct):
Li 0.500 0.000 0.000
Li 0.500 0.000 0.500
Li 0.000 0.000 0.000
Li 0.000 0.000 0.500
Er 0.500 0.500 0.000
Er 0.500 0.500 0.500
Er 0.000 0.500 0.500
Bi 0.000 0.500 0.000
Se 0.256 0.755 0.000
Se 0.256 0.755 0.511
Se 0.250 0.251 0.500
Se 0.745 0.755 0.000
Se 0.255 0.245 0.000
Se 0.750 0.749 0.500
Se 0.744 0.245 0.489
Se 0.744 0.245 0.000

---

> formation energy (no corrections) of number 1 (LiErBi2S4)?

-0.888 eV/atom

---

> Number 1 is which compound?

LiErBi2S4

---

Please write out number 3 again, unchanged.
Below is a relaxed structure of Li4Er3BiSe8, with properties calculated at the PBE level.

The total energy is -4.77 eV/atom. The calculation puts the formation energy (no corrections) at -1.449 eV/atom.

abc: 8.141 8.037 8.139
angles: 120.46 120.01 90.00
Positions (direct):
Li 0.500 0.000 0.000
Li 0.500 0.000 0.500
Li 0.000 0.000 0.000
Li 0.000 0.000 0.500
Er 0.500 0.500 0.000
Er 0.500 0.500 0.500
Er 0.000 0.500 0.500
Bi 0.000 0.500 0.000
Se 0.256 0.755 0.000
Se 0.256 0.755 0.511
Se 0.250 0.251 0.500
Se 0.745 0.755 0.000
Se 0.255 0.245 0.000
Se 0.750 0.749 0.500
Se 0.744 0.245 0.489
Se 0.744 0.245 0.000